1.
Below is a geometry-optimized Th4As2PSe structure, with properties calculated at the PBE level.

Properties
Raw formation energy, eV per formula unit: -11.9
Electronic total energy, eV per formula unit: -59.78
Space-group type: P2/m

Cell lengths 4.212, 7.284, 7.317 Å; angles 70.52, 90.00, 90.00 degrees
Fractional coordinates of all 8 atoms:
Th 0.000 0.743 0.761
Th 0.500 0.251 0.758
Th 0.000 0.257 0.239
Th 0.500 0.749 0.242
P 0.500 0.500 0.000
Se 0.000 0.500 0.500
As 0.500 0.000 0.500
As 0.000 0.000 0.000

---

2.
Below is a geometry-optimized RbScCuI5 structure, with properties calculated at the PBE level.

Properties
Raw formation energy, eV per formula unit: -8.0
Electronic total energy, eV per formula unit: -27.11
Space-group type: C2/c

Cell lengths 8.174, 8.174, 10.963 Å; angles 103.71, 103.71, 105.25 degrees
Fractional coordinates of all 16 atoms:
I 0.222 0.375 0.566
I 0.778 0.625 0.434
I 0.375 0.222 0.066
I 0.689 0.092 0.391
I 0.908 0.311 0.109
I 0.311 0.908 0.609
I 0.625 0.778 0.934
I 0.926 0.074 0.750
I 0.092 0.689 0.891
I 0.074 0.926 0.250
Cu 0.691 0.309 0.250
Cu 0.309 0.691 0.750
Rb 0.644 0.356 0.750
Rb 0.356 0.644 0.250
Sc 0.000 0.000 0.500
Sc 0.000 0.000 0.000

---

> The highest electronic total energy belongs to which entry?

RbScCuI5